No. 1
Entry from Alexandria via LeMat-Bulk: a relaxed SiPPb2 crystal (GGA-PBEsol).

Computed properties:
size of the total moment: 0.00 μB/cell
space group: I4/mmm (139)
energy relative to the elements, uncorrected: 0.4687 eV per atom
total DFT energy (no corrections): -0.162 Ha/atom

Structure (POSCAR):
```
SiPPb2
1.0
4.999 0.000 0.000
0.000 4.999 0.000
0.000 0.000 7.159
Si P Pb
2 2 4
direct
0.000 0.000 0.000 Si
0.500 0.500 0.500 Si
0.000 0.000 0.500 P
0.500 0.500 0.000 P
0.000 0.500 0.250 Pb
0.000 0.500 0.750 Pb
0.500 0.000 0.250 Pb
0.500 0.000 0.750 Pb
```

=====

No. 2
Entry from Alexandria via LeMat-Bulk: a relaxed AgO2F crystal (GGA-PBEsol).

Computed properties:
size of the total moment: 0.00 μB/cell
space group: C2/m (12)
energy relative to the elements, uncorrected: -0.4188 eV per atom
total DFT energy (no corrections): -0.160 Ha/atom

Structure (POSCAR):
```
AgO2F
1.0
12.779 0.000 0.000
0.000 3.811 0.000
-0.837 0.000 4.587
Ag O F
4 8 4
direct
0.169 0.000 0.213 Ag
0.331 0.500 0.787 Ag
0.669 0.500 0.213 Ag
0.831 0.000 0.787 Ag
0.030 0.335 0.227 O
0.030 0.665 0.227 O
0.470 0.165 0.773 O
0.470 0.835 0.773 O
0.530 0.165 0.227 O
0.530 0.835 0.227 O
0.970 0.335 0.773 O
0.970 0.665 0.773 O
0.244 0.000 0.759 F
0.256 0.500 0.241 F
0.744 0.500 0.759 F
0.756 0.000 0.241 F
```

=====

No. 3
Entry from Alexandria via LeMat-Bulk: a relaxed SnAsSe2F crystal (GGA-PBEsol).

Computed properties:
size of the total moment: 0.00 μB/cell
space group: P4/mmm (123)
energy relative to the elements, uncorrected: 0.2118 eV per atom
total DFT energy (no corrections): -0.132 Ha/atom

Structure (POSCAR):
```
SnAsSe2F
1.0
4.770 0.000 0.000
0.000 4.770 0.000
0.000 0.000 4.592
Sn As Se F
1 1 2 1
direct
0.000 0.000 0.000 Sn
0.500 0.500 0.000 As
0.000 0.500 0.500 Se
0.500 0.000 0.500 Se
0.000 0.000 0.500 F
```

=====

No. 4
Entry from Alexandria via LeMat-Bulk: a relaxed CrTe4 crystal (GGA-PBEsol).

Computed properties:
size of the total moment: 7.43 μB/cell
space group: Im-3m (229)
energy relative to the elements, uncorrected: 0.2446 eV per atom
total DFT energy (no corrections): -0.170 Ha/atom

Structure (POSCAR):
```
CrTe4
1.0
6.569 0.000 0.000
0.000 6.569 0.000
0.000 0.000 6.569
Cr Te
2 8
direct
0.000 0.000 0.000 Cr
0.500 0.500 0.500 Cr
0.250 0.250 0.250 Te
0.250 0.250 0.750 Te
0.250 0.750 0.250 Te
0.250 0.750 0.750 Te
0.750 0.250 0.250 Te
0.750 0.250 0.750 Te
0.750 0.750 0.250 Te
0.750 0.750 0.750 Te
```

=====

No. 5
Entry from Alexandria via LeMat-Bulk: a relaxed AlBO3 crystal (GGA-PBEsol).

Computed properties:
size of the total moment: 0.00 μB/cell
space group: R-3c (167)
energy relative to the elements, uncorrected: -2.7610 eV per atom
total DFT energy (no corrections): -0.299 Ha/atom

Structure (POSCAR):
```
AlBO3
1.0
2.238 1.292 4.574
-2.238 1.292 4.574
0.000 -2.585 4.574
Al B O
2 2 6
direct
0.000 0.000 0.000 Al
0.500 0.500 0.500 Al
0.250 0.250 0.250 B
0.750 0.750 0.750 B
0.059 0.750 0.441 O
0.250 0.559 0.941 O
0.441 0.059 0.750 O
0.559 0.941 0.250 O
0.750 0.441 0.059 O
0.941 0.250 0.559 O
```

=====

No. 6
Entry from Alexandria via LeMat-Bulk: a relaxed SrRuPb crystal (GGA-PBEsol).

Computed properties:
size of the total moment: 0.00 μB/cell
formation enthalpy at 0 K: 660 meV per atom
space group: F-43m (216)
total DFT energy (no corrections): -0.172 Ha/atom

Structure (POSCAR):
```
SrRuPb
1.0
6.861 0.000 0.000
0.000 6.861 0.000
0.000 0.000 6.861
Sr Ru Pb
4 4 4
direct
0.000 0.000 0.000 Sr
0.000 0.500 0.500 Sr
0.500 0.000 0.500 Sr
0.500 0.500 0.000 Sr
0.000 0.000 0.500 Ru
0.000 0.500 0.000 Ru
0.500 0.000 0.000 Ru
0.500 0.500 0.500 Ru
0.250 0.250 0.250 Pb
0.250 0.750 0.750 Pb
0.750 0.250 0.750 Pb
0.750 0.750 0.250 Pb
```

=====

No. 7
Entry from Alexandria via LeMat-Bulk: a relaxed MgZn4Pt crystal (GGA-PBEsol).

Computed properties:
size of the total moment: 0.00 μB/cell
formation enthalpy at 0 K: -336 meV per atom
space group: F-43m (216)
total DFT energy (no corrections): -0.104 Ha/atom

Structure (POSCAR):
```
MgZn4Pt
1.0
0.000 3.488 3.488
3.488 0.000 3.488
3.488 3.488 0.000
Mg Zn Pt
1 4 1
direct
0.000 0.000 0.000 Mg
0.126 0.625 0.625 Zn
0.625 0.126 0.625 Zn
0.625 0.625 0.126 Zn
0.625 0.625 0.625 Zn
0.250 0.250 0.250 Pt
```

=====

No. 8
Entry from Alexandria via LeMat-Bulk: a relaxed ZnIrOs crystal (GGA-PBEsol).

Computed properties:
size of the total moment: 0.00 μB/cell
formation enthalpy at 0 K: 134 meV per atom
space group: Imm2 (44)
total DFT energy (no corrections): -0.284 Ha/atom

Structure (POSCAR):
```
ZnIrOs
1.0
2.733 0.000 0.000
0.000 3.804 0.000
0.000 0.000 7.925
Zn Ir Os
2 2 2
direct
0.000 0.000 0.000 Zn
0.500 0.500 0.500 Zn
0.000 0.000 0.668 Ir
0.500 0.500 0.168 Ir
0.000 0.000 0.332 Os
0.500 0.500 0.832 Os
```